Density functional theory data (PBE) for crystalline Pr5Ge3C at its relaxed geometry.

The value obtained for the total energy is -0.4253 Ry per atom. The calculation puts the formation energy from the elements at -0.57 eV per atom. The value obtained for the total magnetic moment is 0.00 μB per formula unit. As for the symmetry: P6_3/mcm, No. 193.

Cell and atoms, written as POSCAR:
```
Pr5Ge3C
1.0
8.9165 0.0000 0.0000
-4.4582 7.7219 0.0000
0.0000 0.0000 6.8729
Pr Ge C
10 6 2
Cartesian
-0.9898 1.7143 1.7182
-3.4685 6.0076 5.1547
1.9795 0.0000 1.7182
0.9898 1.7143 5.1547
0.0000 5.1479 0.0000
0.0000 5.1479 3.4365
4.4582 2.5740 0.0000
4.4582 2.5740 3.4365
6.9370 0.0000 5.1547
3.4685 6.0076 1.7182
-1.8427 3.1916 5.1547
-2.6156 4.5303 1.7182
3.6853 0.0000 5.1547
1.8427 3.1916 1.7182
5.2312 0.0000 1.7182
2.6156 4.5303 5.1547
0.0000 0.0000 0.0000
0.0000 0.0000 3.4365
```

***

Density functional theory data (PBE) for crystalline PrGeRu2C at its relaxed geometry.

The value obtained for the total energy is -0.5794 Ry per atom. The calculation puts the formation energy from the elements at -0.45 eV per atom. The value obtained for the total magnetic moment is 0.00 μB per formula unit. As for the symmetry: Cmcm, No. 63.

Cell and atoms, written as POSCAR:
```
PrGeRu2C
1.0
2.0173 -5.5917 0.0000
2.0173 5.5917 0.0000
0.0000 0.0000 7.3661
Pr Ge Ru C
2 2 4 2
Cartesian
2.0173 5.0341 5.5246
2.0173 -5.0341 1.8415
2.0173 3.0218 1.8415
2.0173 -3.0218 5.5246
2.0173 1.8216 4.1149
2.0173 1.8216 6.9342
2.0173 -1.8216 0.4318
2.0173 -1.8216 3.2512
2.0173 0.0000 0.0000
2.0173 0.0000 3.6830
```